# K5Cd2Hg12

K5Cd2Hg12 after structural relaxation (PBE, Alexandria).

Geometry as POSCAR:
```
K5Cd2Hg12
1.0
8.8611 -4.1169 0.0000
8.8611 4.1169 0.0000
-0.3311 0.0000 8.3377
K Cd Hg
5 2 12
Cartesian
0.0000 0.0000 0.0000
4.0093 0.0000 7.7826
5.1582 0.0000 3.9086
12.2330 0.0000 4.4291
13.3819 0.0000 0.5551
8.6956 1.6440 4.1689
8.6956 -1.6440 4.1689
6.1093 2.5800 6.1624
1.5673 0.0000 5.0183
6.9333 1.5618 1.3294
11.2819 2.5800 2.1754
10.4579 1.5618 7.0083
7.6188 0.0000 6.7871
9.7725 0.0000 1.5506
6.9333 -1.5618 1.3294
6.1093 -2.5800 6.1624
10.4579 -1.5618 7.0083
15.8239 0.0000 3.3194
11.2819 -2.5800 2.1754
```

## Properties
uncorrected energy = -14.4 eV/cell
energy relative to the elements = -0.180 eV per atom
space group = No. 12
calculated density = 7.7 g/cm3